This record from Alexandria describes NiHg3 after structural relaxation. The functional is PBEsol.

```
NiHg3
1.0
2.896 0.000 0.000
0.000 4.410 0.000
-1.448 -2.205 6.168
Hg Ni
3 1
Cartesian
1.448 2.205 2.262 Hg
1.448 0.000 0.000 Hg
0.000 0.000 3.906 Hg
0.000 2.205 0.000 Ni
```

Calculated values
SG: Immm
Excess energy over the best structure of this formula in the dataset in eV/f.u.: 0.000
Spin magnetization in μB/f.u.: 0.00
Calculated density in g/cm³: 13.9